Record 1
Compound: CaTc2W
Source: Alexandria
Functional: GGA-PBE
Structure: relaxed

Unit cell a=9.537 b=3.056 c=5.454 alpha=90.00 beta=107.18 gamma=90.00
Space group C2/m (No. 12)
Inequivalent atoms, fractional coordinates:
Ca (0.000, 0.000, 0.000) [2 per cell]
Tc (0.220, 0.000, 0.676) [4 per cell]
W (0.000, 0.500, 0.500) [2 per cell]

Results
energy relative to the elements	511	meV/atom
E above lowest polymorph	20.36	kJ/mol of atoms
DFT total energy	-8.411	eV per atom
crystal system	monoclinic

=====

Record 2
Compound: CeSm6Dy10
Source: Alexandria
Functional: GGA-PBE
Structure: relaxed

Unit cell a=9.6820 b=9.6820 c=6.8714 alpha=90.00 beta=90.00 gamma=120.00
Space group P-31m (No. 162)
Inequivalent atoms, fractional coordinates:
Ce (0.0000, 0.0000, 0.0000) [1 per cell]
Sm (0.0000, 0.3792, 0.7985) [6 per cell]
Dy (0.0000, 0.2712, 0.3154) [6 per cell]
Dy (0.3333, 0.6667, 0.0000) [2 per cell]
Dy (0.3333, 0.6667, 0.5000) [2 per cell]

Results
energy relative to the elements	145	meV/atom
DFT total energy	-4.577	eV per atom
crystal system	trigonal

=====

Record 3
Compound: VP3Pt
Source: Alexandria
Functional: GGA-PBE
Structure: relaxed

Unit cell a=4.456 b=4.456 c=4.456 alpha=90.00 beta=90.00 gamma=90.00
Space group Pm-3m (No. 221)
Inequivalent atoms, fractional coordinates:
V (0.000, 0.000, 0.000) [1 per cell]
P (0.000, 0.000, 0.500) [3 per cell]
Pt (0.500, 0.500, 0.500) [1 per cell]

Results
energy relative to the elements	516	meV/atom
E above lowest polymorph	0.00	kJ/mol of atoms
DFT total energy	-5.762	eV per atom
crystal system	cubic